This record from Alexandria describes a crystal of In2CoRu relaxed with PBEsol. The functional is meta-GGA SCAN.

abc: 6.3362 6.3362 6.3362
angles: 90.00 90.00 90.00
Last column: nearest neighbours and their distance in Å.
Space group F-43m (No. 216)
Unique sites:
In 0.0000 0.0000 0.0000 (multiplicity 4)  4 In 2.74, 4 Ru 2.74
In 0.2500 0.2500 0.2500 (multiplicity 4)  4 In 2.74, 4 Co 2.74
Co 0.0000 0.0000 0.5000 (multiplicity 4)  4 In 2.74, 4 Ru 2.74
Ru 0.2500 0.2500 0.7500 (multiplicity 4)  4 In 2.74, 4 Co 2.74

Summary:
ΔH_f (0 K)	0.3994	eV/atom
DOS at the Fermi energy	0.60	states/eV/atom